[1]
# Ba2CrSi, relaxed, DFT PBE
data_Ba2CrSi
_chemical_formula_sum 'Ba2 Cr1 Si1'
_cell_length_a 4.610
_cell_length_b 5.110
_cell_length_c 6.430
_cell_angle_alpha 66.56
_cell_angle_beta 90.00
_cell_angle_gamma 90.00
_symmetry_space_group_name_H-M 'P 1'
_symmetry_Int_Tables_number 1
_symmetry_space_group_name_Hall 'P 1'
loop_
_atom_site_label
_atom_site_fract_x
_atom_site_fract_y
_atom_site_fract_z
_atom_site_occupancy
Ba1 0.000 0.982 0.911 1
Ba2 0.500 0.274 0.326 1
Si1 0.500 0.579 0.716 1
Cr1 0.000 0.664 0.547 1
# - total magnetic moment (Bohr magnetons per cell) = 4.0
# - uncorrected formation energy (kJ/mol of atoms) = 9.0
# - E (eV per cell) = -18.52


[2]
# Tb2YIr9, relaxed, DFT PBE
data_Tb2YIr9
_chemical_formula_sum 'Tb2 Y1 Ir9'
_cell_length_a 5.314
_cell_length_b 5.314
_cell_length_c 9.315
_cell_angle_alpha 73.43
_cell_angle_beta 73.43
_cell_angle_gamma 60.00
_symmetry_space_group_name_H-M 'P 1'
_symmetry_Int_Tables_number 1
_symmetry_space_group_name_Hall 'P 1'
loop_
_atom_site_label
_atom_site_fract_x
_atom_site_fract_y
_atom_site_fract_z
_atom_site_occupancy
Ir1 0.500 0.500 0.500 1
Ir2 0.419 0.419 0.246 1
Ir3 0.419 0.917 0.246 1
Y1 0.000 0.000 0.000 1
Ir4 0.333 0.333 0.002 1
Ir5 0.083 0.581 0.754 1
Tb1 0.861 0.861 0.418 1
Ir6 0.667 0.667 0.998 1
Tb2 0.139 0.139 0.582 1
Ir7 0.581 0.083 0.754 1
Ir8 0.581 0.581 0.754 1
Ir9 0.917 0.419 0.246 1
# - total magnetic moment (Bohr magnetons per cell) = 0.0
# - E (eV per cell) = -102.42
# - formation enthalpy at 0 K (eV/atom) = -0.5788


[3]
# PmDyHf, relaxed, DFT PBE
data_PmDyHf
_chemical_formula_sum 'Pm2 Dy2 Hf2'
_cell_length_a 4.672
_cell_length_b 4.672
_cell_length_c 8.309
_cell_angle_alpha 90.00
_cell_angle_beta 90.00
_cell_angle_gamma 90.00
_symmetry_space_group_name_H-M 'P 1'
_symmetry_Int_Tables_number 1
_symmetry_space_group_name_Hall 'P 1'
loop_
_atom_site_label
_atom_site_fract_x
_atom_site_fract_y
_atom_site_fract_z
_atom_site_occupancy
Dy1 0.500 0.000 0.721 1
Hf1 0.500 0.500 0.000 1
Dy2 0.000 0.500 0.279 1
Pm1 0.500 0.000 0.292 1
Pm2 0.000 0.500 0.708 1
Hf2 0.000 0.000 0.000 1
# - total magnetic moment (Bohr magnetons per cell) = 0.0
# - E (eV per cell) = -37.18
# - formation enthalpy at 0 K (eV/atom) = 0.2381


[4]
# Ta2TiO, relaxed, DFT PBE
data_Ta2TiO
_chemical_formula_sum 'Ta4 Ti2 O2'
_cell_length_a 7.337
_cell_length_b 7.337
_cell_length_c 5.657
_cell_angle_alpha 49.57
_cell_angle_beta 49.57
_cell_angle_gamma 90.00
_symmetry_space_group_name_H-M 'P 1'
_symmetry_Int_Tables_number 1
_symmetry_space_group_name_Hall 'P 1'
loop_
_atom_site_label
_atom_site_fract_x
_atom_site_fract_y
_atom_site_fract_z
_atom_site_occupancy
Ta1 0.506 0.125 0.250 1
Ti1 0.750 0.250 0.500 1
O1 0.500 0.500 0.000 1
Ta2 0.375 0.494 0.750 1
Ta3 0.244 0.625 0.250 1
O2 0.250 0.750 0.500 1
Ti2 0.000 0.000 0.000 1
Ta4 0.875 0.756 0.750 1
# - total magnetic moment (Bohr magnetons per cell) = 0.0
# - uncorrected formation energy (kJ/mol of atoms) = -68.2
# - E (eV per cell) = -78.77


[5]
# PuAgS2O8, relaxed, DFT PBE
data_PuAgS2O8
_chemical_formula_sum 'Pu1 Ag1 S2 O8'
_cell_length_a 5.573
_cell_length_b 5.573
_cell_length_c 6.987
_cell_angle_alpha 90.00
_cell_angle_beta 90.00
_cell_angle_gamma 120.00
_symmetry_space_group_name_H-M 'P 1'
_symmetry_Int_Tables_number 1
_symmetry_space_group_name_Hall 'P 1'
loop_
_atom_site_label
_atom_site_fract_x
_atom_site_fract_y
_atom_site_fract_z
_atom_site_occupancy
O1 0.188 0.376 0.789 1
O2 0.188 0.812 0.789 1
O3 0.333 0.667 0.503 1
O4 0.812 0.624 0.211 1
O5 0.624 0.812 0.789 1
Pu1 0.000 0.000 0.000 1
O6 0.812 0.188 0.211 1
S1 0.667 0.333 0.290 1
O7 0.667 0.333 0.497 1
S2 0.333 0.667 0.710 1
Ag1 0.000 0.000 0.500 1
O8 0.376 0.188 0.211 1
# - total magnetic moment (Bohr magnetons per cell) = 5.0
# - uncorrected formation energy (kJ/mol of atoms) = -150.2
# - E (eV per cell) = -83.78


[6]
# Y3Er12Sc, relaxed, DFT PBE
data_Y3Er12Sc
_chemical_formula_sum 'Y3 Er12 Sc1'
_cell_length_a 4.959
_cell_length_b 4.959
_cell_length_c 19.792
_cell_angle_alpha 90.00
_cell_angle_beta 90.00
_cell_angle_gamma 90.00
_symmetry_space_group_name_H-M 'P 1'
_symmetry_Int_Tables_number 1
_symmetry_space_group_name_Hall 'P 1'
loop_
_atom_site_label
_atom_site_fract_x
_atom_site_fract_y
_atom_site_fract_z
_atom_site_occupancy
Er1 0.500 0.000 0.879 1
Er2 0.500 0.500 0.247 1
Er3 0.500 0.000 0.121 1
Er4 0.000 0.500 0.374 1
Er5 0.000 0.500 0.121 1
Er6 0.000 0.500 0.626 1
Er7 0.500 0.500 0.753 1
Y1 0.000 0.000 0.248 1
Er8 0.500 0.000 0.626 1
Sc1 0.000 0.000 0.000 1
Y2 0.000 0.000 0.500 1
Er9 0.500 0.000 0.374 1
Y3 0.000 0.000 0.752 1
Er10 0.500 0.500 0.500 1
Er11 0.500 0.500 0.000 1
Er12 0.000 0.500 0.879 1
# - total magnetic moment (Bohr magnetons per cell) = 0.0
# - E (eV per cell) = -79.99
# - formation enthalpy at 0 K (eV/atom) = 0.0305